No. 1
This record from Alexandria via LeMat-Bulk describes a geometry-optimized Na3AsAu8 structure. The functional is PBE.

Results
Its formation energy is -0.21 eV/atom. As for the density of states at the Fermi level: 2.01 states/eV/f.u. The total magnetic moment comes out at 0.00 μB per formula unit.

abc: 5.662 5.662 9.679
angles: 72.99 72.99 60.00
Atoms (fractional coordinates):
1 Au 0.057 0.057 0.316
2 Au 0.559 0.559 0.824
3 Au 0.058 0.559 0.824
4 Au 0.808 0.808 0.576
5 Au 0.057 0.570 0.316
6 Au 0.559 0.058 0.824
7 Au 0.310 0.310 0.070
8 Au 0.570 0.057 0.316
9 Na 0.623 0.623 0.130
10 Na 0.005 0.005 0.985
11 Na 0.492 0.492 0.524
12 As 0.151 0.151 0.546



No. 2
This record from Alexandria via LeMat-Bulk describes a geometry-optimized Na2AsAu2 structure. The functional is PBE.

Results
Its formation energy is -0.34 eV/atom. As for the density of states at the Fermi level: 1.11 states/eV/f.u. The energy relative to the lowest polymorph listed for this composition comes out at 0 meV per atom. The total magnetic moment comes out at 0.00 μB per formula unit.

abc: 5.551 5.614 8.427
angles: 99.36 90.00 119.63
Atoms (fractional coordinates):
1 Au 0.005 0.256 0.985
2 Au 0.995 0.744 0.015
3 Au 0.252 0.256 0.485
4 Au 0.748 0.744 0.515
5 As 0.860 0.000 0.250
6 As 0.140 0.000 0.750
7 Na 0.469 0.695 0.833
8 Na 0.225 0.695 0.333
9 Na 0.775 0.305 0.667
10 Na 0.531 0.305 0.167



No. 3
This record from Alexandria via LeMat-Bulk describes a geometry-optimized NaAsAu2 structure. The functional is PBE.

Results
Its formation energy is -0.16 eV/atom. As for the density of states at the Fermi level: 0.00 states/eV/f.u. The total magnetic moment comes out at 0.00 μB per formula unit.

abc: 5.369 5.369 8.836
angles: 72.31 72.31 90.00
Atoms (fractional coordinates):
1 Na 0.250 0.750 0.500
2 Na 0.500 0.500 0.000
3 Au 0.875 0.018 0.750
4 Au 0.982 0.625 0.250
5 Au 0.768 0.125 0.250
6 Au 0.375 0.232 0.750
7 As 0.000 0.000 0.000
8 As 0.750 0.250 0.500



No. 4
This record from Alexandria via LeMat-Bulk describes a geometry-optimized Na2As2Au structure. The functional is PBE.

Results
Its formation energy is 0.14 eV/atom. As for the density of states at the Fermi level: 2.15 states/eV/f.u. The energy relative to the lowest polymorph listed for this composition comes out at 502 meV per atom. The total magnetic moment comes out at 0.00 μB per formula unit.

abc: 4.384 4.384 6.763
angles: 71.09 71.09 90.00
Atoms (fractional coordinates):
1 Na 0.250 0.750 0.500
2 Na 0.750 0.250 0.500
3 As 0.406 0.406 0.189
4 As 0.594 0.594 0.811
5 Au 0.000 0.000 0.000



No. 5
This record from Alexandria via LeMat-Bulk describes a geometry-optimized NaAsAu2 structure. The functional is PBE.

Results
Its formation energy is -0.21 eV/atom. As for the density of states at the Fermi level: 0.66 states/eV/f.u. The total magnetic moment comes out at 0.00 μB per formula unit.

abc: 4.545 5.509 7.274
angles: 90.00 90.00 114.37
Atoms (fractional coordinates):
1 As 0.239 0.477 0.250
2 As 0.761 0.523 0.750
3 Au 0.638 0.276 0.058
4 Au 0.638 0.276 0.442
5 Au 0.362 0.724 0.942
6 Au 0.362 0.724 0.558
7 Na 0.943 0.885 0.250
8 Na 0.057 0.115 0.750



No. 6
This record from Alexandria via LeMat-Bulk describes a geometry-optimized NaAs2Au2 structure. The functional is PBE.

Results
Its formation energy is -0.15 eV/atom. As for the density of states at the Fermi level: 1.60 states/eV/f.u. The energy relative to the lowest polymorph listed for this composition comes out at 0 meV per atom. The total magnetic moment comes out at 0.00 μB per formula unit.

abc: 4.534 4.534 6.228
angles: 68.66 68.66 90.00
Atoms (fractional coordinates):
1 As 0.616 0.616 0.768
2 As 0.384 0.384 0.232
3 Na 0.000 0.000 0.000
4 Au 0.750 0.250 0.500
5 Au 0.250 0.750 0.500



No. 7
This record from Alexandria via LeMat-Bulk describes a geometry-optimized NaAsAu2 structure. The functional is PBE.

Results
Its formation energy is -0.10 eV/atom. As for the density of states at the Fermi level: 1.52 states/eV/f.u. The total magnetic moment comes out at 0.00 μB per formula unit.

abc: 4.038 4.305 4.305
angles: 90.00 90.00 90.00
Atoms (fractional coordinates):
1 As 0.500 0.000 0.000
2 Au 0.000 0.000 0.500
3 Au 0.000 0.500 0.000
4 Na 0.500 0.500 0.500



No. 8
This record from Alexandria via LeMat-Bulk describes a geometry-optimized Na2AsAu2 structure. The functional is PBE.

Results
Its formation energy is 0.20 eV/atom. As for the density of states at the Fermi level: 2.76 states/eV/f.u. The energy relative to the lowest polymorph listed for this composition comes out at 540 meV per atom. The total magnetic moment comes out at 0.00 μB per formula unit.

abc: 3.968 3.968 7.501
angles: 74.66 74.66 90.00
Atoms (fractional coordinates):
1 Au 0.596 0.596 0.807
2 Au 0.404 0.404 0.193
3 As 0.000 0.000 0.000
4 Na 0.250 0.750 0.500
5 Na 0.750 0.250 0.500